1.
This record from Alexandria describes crystalline Ce2TiNi4As3 at its relaxed geometry. The functional is GGA-PBE.

E_tot = -6.47 eV/atom

Structure (extended XYZ):
```
10
Lattice="-3.567 -1.874 0.654 0.765 -0.055 4.010 -4.440 8.790 0.968" Properties=species:S:1:pos:R:3 pbc="T T T"
Ni -4.592 4.623 0.940
Ni -1.249 3.202 2.361
Ni 0.000 0.000 0.000
Ni -1.401 -0.965 2.332
Ce -3.001 6.671 2.743
Ce -2.840 1.154 0.558
As -0.192 1.110 2.130
As -2.220 4.395 0.484
As -5.649 6.715 1.170
Ti -3.622 3.430 2.816
```


2.
This record from Alexandria describes crystalline LaTcRh2 at its relaxed geometry. The functional is GGA-PBE.

E_tot = -7.43 eV/atom

Structure (extended XYZ):
```
4
Lattice="4.975 0.028 -0.195 1.319 4.797 0.195 -3.012 -2.589 3.003" Properties=species:S:1:pos:R:3 pbc="T T T"
Rh 3.153 2.416 0.000
Rh 6.288 4.820 0.000
Tc 2.555 -0.075 1.404
La 0.727 2.310 1.599
```


Look up the E_tot of the first one.
-6.47 eV/atom


What is the E_tot in the second record?
-7.43 eV/atom